1.
Density functional theory data (GGA-PBE) for crystalline EuY2O at its relaxed geometry.

V   102 Å³/cell
Formation energy (no corrections)   -4.87 eV per formula unit
Total DFT energy (no corrections)   -0.6069 Ry/atom

The structure in POSCAR format:
```
EuY2O
1.0
3.5388 0.0000 0.0000
1.7694 3.0647 0.0000
1.7694 1.0216 9.4278
Eu O Y
1 1 2
direct
0.0000 0.0000 0.0000
0.5000 0.5000 0.5000
0.8794 0.8794 0.3617
0.1206 0.1206 0.6383
```

=====

2.
Density functional theory data (GGA-PBE) for crystalline YbEu3O6 at its relaxed geometry.

V   646 Å³/cell
Formation energy (no corrections)   -27.62 eV per formula unit
Total DFT energy (no corrections)   -0.6594 Ry/atom

The structure in POSCAR format:
```
YbEu3O6
1.0
9.4303 0.0000 0.0000
-3.1434 8.8910 0.0000
-3.1434 -4.4455 7.6998
O Eu Yb
24 12 4
direct
0.0401 0.2728 0.0054
0.9653 0.5054 0.2326
0.7728 0.7327 0.2674
0.2272 0.2673 0.7326
0.7272 0.9946 0.9599
0.4653 0.2327 0.4599
0.2674 0.7728 0.7327
0.9599 0.7272 0.9946
0.7327 0.2674 0.7728
0.2673 0.7326 0.2272
0.2728 0.0054 0.0401
0.7673 0.5401 0.5347
0.7674 0.0347 0.4946
0.4599 0.4653 0.2327
0.5347 0.7673 0.5401
0.4946 0.7674 0.0347
0.9946 0.9599 0.7272
0.2326 0.9653 0.5054
0.5401 0.5347 0.7673
0.0054 0.0401 0.2728
0.0347 0.4946 0.7674
0.2327 0.4599 0.4653
0.5054 0.2326 0.9653
0.7326 0.2272 0.2673
0.0323 0.7500 0.7823
0.2500 0.7177 0.4677
0.7823 0.0323 0.7500
0.7177 0.4677 0.2500
0.9677 0.2500 0.2177
0.7500 0.7823 0.0323
0.7500 0.2823 0.5323
0.2177 0.9677 0.2500
0.5323 0.7500 0.2823
0.4677 0.2500 0.7177
0.2500 0.2177 0.9677
0.2823 0.5323 0.7500
0.0000 0.5000 0.0000
0.0000 0.0000 0.5000
0.5000 0.0000 0.0000
0.5000 0.5000 0.5000
```

=====

3.
Density functional theory data (GGA-PBE) for crystalline Eu3ZnO at its relaxed geometry.

V   126 Å³/cell
Formation energy (no corrections)   -5.83 eV per formula unit
Total DFT energy (no corrections)   -0.6304 Ry/atom

The structure in POSCAR format:
```
Eu3ZnO
1.0
-2.0319 4.0400 2.1703
2.0942 -1.2944 4.3703
4.0800 2.6764 -1.1624
O Eu Zn
1 3 1
direct
0.0000 0.0000 0.0000
0.0000 0.0000 0.5000
0.5000 0.0000 0.0000
0.0000 0.5000 0.0000
0.5000 0.5000 0.5000
```

=====

4.
Density functional theory data (GGA-PBE) for crystalline EuZnO2 at its relaxed geometry.

V   74 Å³/cell
Formation energy (no corrections)   -8.13 eV per formula unit
Total DFT energy (no corrections)   -0.5438 Ry/atom

The structure in POSCAR format:
```
EuZnO2
1.0
3.7730 0.0000 0.0000
1.8865 3.2675 0.0000
1.8865 1.0892 5.9720
Eu O Zn
1 2 1
direct
0.5000 0.5000 0.5000
0.1011 0.1011 0.6967
0.8989 0.8989 0.3033
0.0000 0.0000 0.0000
```

=====

5.
Density functional theory data (GGA-PBE) for crystalline EuZr4O9 at its relaxed geometry.

V   178 Å³/cell
Formation energy (no corrections)   -44.97 eV per formula unit
Total DFT energy (no corrections)   -0.7038 Ry/atom

The structure in POSCAR format:
```
EuZr4O9
1.0
-1.7663 9.1306 3.7365
-7.0434 5.6578 4.3391
6.2711 -7.6753 -1.4872
Zr O Eu
4 9 1
direct
0.3338 0.3039 0.0299
0.1389 0.1120 0.0269
0.9149 0.8880 0.0269
0.7260 0.6961 0.0299
0.4806 0.2036 0.2770
0.1496 0.3893 0.7603
0.8649 0.5988 0.2661
0.5742 0.7999 0.7743
0.1280 0.0000 0.1280
0.6674 0.4012 0.2661
0.9744 0.2001 0.7743
0.0733 0.7964 0.2770
0.3710 0.6107 0.7603
0.4609 0.5000 0.9609
```

=====

6.
Density functional theory data (GGA-PBE) for crystalline Eu3Zr5O12 at its relaxed geometry.

V   1231 Å³/cell
Formation energy (no corrections)   -60.42 eV per formula unit
Total DFT energy (no corrections)   -0.7111 Ry/atom

The structure in POSCAR format:
```
Eu3Zr5O12
1.0
11.6944 0.0000 0.0000
-3.8981 11.0255 0.0000
-3.8981 -5.5128 9.5484
O Zr Eu
48 20 12
direct
0.9180 0.0957 0.6194
0.7014 0.5820 0.1776
0.5237 0.2014 0.1194
0.9180 0.8224 0.7986
0.5957 0.6194 0.4180
0.4763 0.6776 0.0957
0.4180 0.1194 0.5957
0.8224 0.9043 0.0237
0.9763 0.3806 0.2986
0.0820 0.1776 0.2014
0.2014 0.5237 0.6194
0.1194 0.7014 0.5237
0.8806 0.2986 0.4763
0.6776 0.2014 0.5820
0.0957 0.9180 0.1194
0.9043 0.8224 0.5237
0.0237 0.6194 0.7014
0.6776 0.4763 0.5957
0.3224 0.7986 0.4180
0.7986 0.3224 0.9180
0.0820 0.9043 0.3806
0.3224 0.5237 0.4043
0.1776 0.0820 0.7014
0.5820 0.7014 0.6776
0.0237 0.4043 0.8224
0.6194 0.5957 0.9180
0.9043 0.0820 0.8806
0.8224 0.9180 0.2986
0.7986 0.4763 0.3806
0.5957 0.9763 0.6776
0.2986 0.8806 0.9763
0.4043 0.0237 0.3224
0.8806 0.5820 0.9043
0.4763 0.7986 0.8806
0.5237 0.3224 0.9043
0.4043 0.3806 0.5820
0.4180 0.2986 0.3224
0.3806 0.9763 0.7986
0.1776 0.0957 0.9763
0.1194 0.4180 0.0957
0.0957 0.1776 0.4763
0.2014 0.6776 0.0820
0.5820 0.8806 0.4043
0.2986 0.4180 0.8224
0.9763 0.5957 0.1776
0.3806 0.4043 0.0820
0.6194 0.0237 0.2014
0.7014 0.1194 0.0237
0.7500 0.6250 0.3750
0.5000 0.0000 0.0000
0.5000 0.0000 0.5000
0.1250 0.3750 0.2500
0.8750 0.6250 0.7500
0.0000 0.5000 0.0000
0.7500 0.1250 0.8750
0.1250 0.7500 0.3750
0.3750 0.1250 0.7500
0.0000 0.5000 0.5000
0.5000 0.5000 0.0000
0.5000 0.5000 0.5000
0.2500 0.3750 0.6250
0.3750 0.2500 0.1250
0.6250 0.8750 0.2500
0.8750 0.2500 0.6250
0.0000 0.0000 0.5000
0.2500 0.8750 0.1250
0.0000 0.0000 0.0000
0.6250 0.7500 0.8750
0.8750 0.1250 0.2500
0.1250 0.2500 0.8750
0.7500 0.8750 0.6250
0.2500 0.6250 0.8750
0.3750 0.6250 0.2500
0.2500 0.1250 0.3750
0.8750 0.7500 0.1250
0.7500 0.3750 0.1250
0.3750 0.7500 0.6250
0.1250 0.8750 0.7500
0.6250 0.3750 0.7500
0.6250 0.2500 0.3750
```

=====

7.
Density functional theory data (GGA-PBE) for crystalline EuP2Os2 at its relaxed geometry.

V   89 Å³/cell
Calculated formation energy   -0.679 eV/atom
Total DFT energy (no corrections)   -0.6901 Ry/atom

The structure in POSCAR format:
```
EuP2Os2
1.0
-2.3055 3.0684 -4.6918
1.6294 -1.0161 -5.7494
-1.7636 -2.9863 4.9714
Os P Eu
2 2 1
direct
0.7500 0.2500 0.5000
0.2500 0.7500 0.5000
0.3585 0.3585 0.0000
0.6415 0.6415 0.0000
0.0000 0.0000 0.0000
```

=====

8.
Density functional theory data (GGA-PBE) for crystalline EuThOsPd at its relaxed geometry.

V   90 Å³/cell
Calculated formation energy   -0.304 eV/atom
Total DFT energy (no corrections)   -0.6492 Ry/atom

The structure in POSCAR format:
```
EuThOsPd
1.0
-0.6891 2.8502 -4.0866
2.5976 -0.9556 -4.1999
-2.3397 -1.9007 -4.0265
Eu Pd Th Os
1 1 1 1
direct
0.2500 0.2500 0.2500
0.5000 0.5000 0.5000
0.7500 0.7500 0.7500
0.0000 0.0000 0.0000
```

=====

What is the total DFT energy (no corrections) in the fifth record?
-0.7038 Ry/atom